Version 1
Entry from Alexandria: a geometry-optimized BaCr2Fe structure (GGA-PBE).

abc: 6.526 6.526 6.526
angles: 36.75 36.75 36.75
Fractional positions:
Ba1 0.000 0.000 0.000
Cr1 0.508 0.508 0.508
Cr2 0.804 0.804 0.804
Fe1 0.197 0.197 0.197

For the density of states at the Fermi level, the calculation gives 4.31 states/eV/f.u.


Version 2
Entry from Alexandria: a geometry-optimized BaCr2Fe structure (GGA-PBE).

abc: 4.468 4.468 4.472
angles: 90.00 90.00 90.00
Fractional positions:
Ba1 0.000 0.000 0.000
Cr1 0.000 0.500 0.500
Cr2 0.500 0.000 0.500
Fe1 0.500 0.500 0.000

For the density of states at the Fermi level, the calculation gives 8.47 states/eV/f.u.


Last place for stability: version 2


Version 1
Entry from Alexandria: a geometry-optimized BaCr2Fe structure (GGA-PBE).

abc: 3.309 4.781 5.229
angles: 90.00 90.00 90.00
Fractional positions:
Ba1 0.000 0.000 0.000
Cr1 0.000 0.500 0.500
Cr2 0.500 0.000 0.500
Fe1 0.500 0.500 0.000

For the density of states at the Fermi level, the calculation gives 4.50 states/eV/f.u.


Version 2
Entry from Alexandria: a geometry-optimized BaCr2Fe structure (GGA-PBE).

abc: 5.958 5.958 3.140
angles: 103.95 103.95 119.49
Fractional positions:
Ba1 0.000 0.000 0.000
Cr1 0.000 0.500 0.500
Cr2 0.500 0.000 0.500
Fe1 0.500 0.500 0.000

For the density of states at the Fermi level, the calculation gives 5.78 states/eV/f.u.


Version 3
Entry from Alexandria: a geometry-optimized BaCr2Fe structure (GGA-PBE).

abc: 5.281 5.281 5.281
angles: 129.64 106.31 94.66
Fractional positions:
Ba1 0.000 0.000 0.000
Cr1 0.371 0.871 0.500
Cr2 0.629 0.129 0.500
Fe1 0.500 0.500 0.000

For the density of states at the Fermi level, the calculation gives 6.36 states/eV/f.u.


Last place for stability: version 2